(1)
# PBE CaMnCd, optimized geometry
data_CaMnCd
_symmetry_space_group_name_H-M 'P -6 m 2'
_symmetry_Int_Tables_number 187
_symmetry_space_group_name_Hall 'P -6 2'
_cell_length_a 4.8668
_cell_length_b 4.8668
_cell_length_c 3.5991
_cell_angle_alpha 90.00
_cell_angle_beta 90.00
_cell_angle_gamma 120.00
loop_
_atom_site_label
_atom_site_fract_x
_atom_site_fract_y
_atom_site_fract_z
_atom_site_occupancy
Ca1 0.0000 0.0000 0.0000 1
Mn1 0.6667 0.3333 0.5000 1
Cd1 0.3333 0.6667 0.5000 1
# * energy of formation from the pure elements: 0.17 eV per atom

(2)
# PBE Ca2Ge2Pd, optimized geometry
data_Ca2Ge2Pd
_symmetry_space_group_name_H-M 'I 4/m m m'
_symmetry_Int_Tables_number 139
_symmetry_space_group_name_Hall '-I 4 2'
_cell_length_a 4.722
_cell_length_b 4.722
_cell_length_c 11.603
_cell_angle_alpha 90.00
_cell_angle_beta 90.00
_cell_angle_gamma 90.00
loop_
_atom_site_label
_atom_site_fract_x
_atom_site_fract_y
_atom_site_fract_z
_atom_site_occupancy
Ca1 0.000 0.500 0.250 1
Ge1 0.000 0.000 0.097 1
Pd1 0.000 0.000 0.500 1
# * energy of formation from the pure elements: 0.07 eV per atom

(3)
# PBE Sm3Pu2Co4, optimized geometry
data_Sm3Pu2Co4
_symmetry_space_group_name_H-M 'C 1 2/m 1'
_symmetry_Int_Tables_number 12
_symmetry_space_group_name_Hall '-C 2y'
_cell_length_a 11.025
_cell_length_b 3.996
_cell_length_c 8.717
_cell_angle_alpha 90.00
_cell_angle_beta 102.15
_cell_angle_gamma 90.00
loop_
_atom_site_label
_atom_site_fract_x
_atom_site_fract_y
_atom_site_fract_z
_atom_site_occupancy
Sm1 0.000 0.000 0.000 1
Sm2 0.122 0.500 0.385 1
Pu1 0.179 0.500 0.784 1
Co1 0.085 0.000 0.630 1
Co2 0.215 0.500 0.086 1
# * energy of formation from the pure elements: -0.11 eV per atom

(4)
# PBE YScPt, optimized geometry
data_YScPt
_symmetry_space_group_name_H-M 'C m m e'
_symmetry_Int_Tables_number 67
_symmetry_space_group_name_Hall '-C 2a 2'
_cell_length_a 6.283
_cell_length_b 6.292
_cell_length_c 7.069
_cell_angle_alpha 90.00
_cell_angle_beta 90.00
_cell_angle_gamma 90.00
loop_
_atom_site_label
_atom_site_fract_x
_atom_site_fract_y
_atom_site_fract_z
_atom_site_occupancy
Y1 0.000 0.250 0.133 1
Sc1 0.250 0.000 0.500 1
Pt1 0.000 0.250 0.731 1
# * energy of formation from the pure elements: -0.92 eV per atom

(5)
# PBE NaSr2Au, optimized geometry
data_NaSr2Au
_symmetry_space_group_name_H-M 'P 4/m m m'
_symmetry_Int_Tables_number 123
_symmetry_space_group_name_Hall '-P 4 2'
_cell_length_a 3.946
_cell_length_b 3.946
_cell_length_c 9.293
_cell_angle_alpha 90.00
_cell_angle_beta 90.00
_cell_angle_gamma 90.00
loop_
_atom_site_label
_atom_site_fract_x
_atom_site_fract_y
_atom_site_fract_z
_atom_site_occupancy
Na1 0.000 0.000 0.000 1
Sr1 0.500 0.500 0.305 1
Au1 0.000 0.000 0.500 1
# * energy of formation from the pure elements: -0.39 eV per atom

(6)
# PBE SbTeOs2, optimized geometry
data_SbTeOs2
_symmetry_space_group_name_H-M 'R -3 m'
_symmetry_Int_Tables_number 166
_symmetry_space_group_name_Hall '-R 3 2"'
_cell_length_a 3.2062
_cell_length_b 3.2062
_cell_length_c 24.6246
_cell_angle_alpha 90.00
_cell_angle_beta 90.00
_cell_angle_gamma 120.00
loop_
_atom_site_label
_atom_site_fract_x
_atom_site_fract_y
_atom_site_fract_z
_atom_site_occupancy
Sb1 0.0000 0.0000 0.0000 1
Te1 0.0000 0.0000 0.5000 1
Os1 0.0000 0.0000 0.2505 1
# * ΔE_f (raw): 688.1 meV/atom

no.,magnetization (μB/f.u.),Fermi-level density of states (states/eV per atom)
1,3.81,0.8442
2,0.00,0.4761
3,8.41,1.5938
4,0.00,1.9476
5,0.00,0.6900
6,0.00,0.2991